No. 1
Crystalline Hg4PO5 at its relaxed geometry. Source: the Alexandria database, functional GGA-PBE.

Summary:
Symmetry: I4
Total magnetic moment, Bohr magnetons per cell: 0.00
E, eV/atom: -3.83
Formation energy without anion corrections, meV/atom: -689

Structure (POSCAR):
```
Hg4PO5
1.0
-3.6207 3.4014 -1.5642
-2.5990 -1.2987 -5.4789
-5.7786 -1.3276 1.8181
Hg P O
4 1 5
Direct
0.5790 0.4592 0.7402
0.0382 0.7402 0.5408
0.3192 0.2598 0.4592
0.7784 0.5408 0.2598
0.9799 0.0000 0.0000
0.7187 0.2928 0.0407
0.0115 0.0407 0.7072
0.7594 0.9593 0.2928
0.0522 0.7072 0.9593
0.2738 0.0000 0.0000
```

***

No. 2
Crystalline SrCdS2 at its relaxed geometry. Source: the Alexandria database, functional GGA-PBE.

Summary:
Symmetry: Pnma
Total magnetic moment, Bohr magnetons per cell: 0.00
E, eV/atom: -4.02
Formation energy without anion corrections, meV/atom: -1310

Structure (POSCAR):
```
SrCdS2
1.0
-2.9957 3.0561 -0.2675
-4.0944 -4.1961 -2.0856
-4.5706 -3.1415 15.2931
Sr Cd S
4 4 8
Direct
0.7500 0.2461 0.5690
0.2500 0.7539 0.4310
0.7500 0.7461 0.9310
0.2500 0.2539 0.0690
0.7500 0.8011 0.1670
0.7500 0.3011 0.3330
0.2500 0.1989 0.8330
0.2500 0.6989 0.6670
0.7500 0.7554 0.5686
0.2500 0.2446 0.4314
0.7500 0.2554 0.9314
0.2500 0.7446 0.0686
0.2500 0.2870 0.6833
0.7500 0.2130 0.1833
0.2500 0.7870 0.8167
0.7500 0.7130 0.3167
```

***

No. 3
Crystalline Ac3B4C4 at its relaxed geometry. Source: the Alexandria database, functional GGA-PBE.

Summary:
Symmetry: Immm
Energy of formation from the pure elements, eV per atom: 0.603
Total magnetic moment, Bohr magnetons per cell: 0.00
E, eV/atom: -6.30

Structure (POSCAR):
```
Ac3B4C4
1.0
3.0402 0.0000 0.0000
0.0000 6.4227 0.0000
-1.5201 -3.2114 8.0880
Ac B C
3 4 4
Direct
0.1605 0.1605 0.3211
0.8395 0.8395 0.6789
0.0000 0.5000 0.0000
0.3412 0.2116 0.6824
0.6588 0.5293 0.3176
0.6588 0.7884 0.3176
0.3412 0.4707 0.6824
0.1834 0.6834 0.3668
0.8166 0.3166 0.6332
0.5000 0.9001 0.0000
0.5000 0.0999 0.0000
```

***

No. 4
Crystalline Pt2WSe at its relaxed geometry. Source: the Alexandria database, functional GGA-PBE.

Summary:
Symmetry: I4/mmm
Total magnetic moment, Bohr magnetons per cell: 0.00
E, eV/atom: -6.72
Formation energy without anion corrections, meV/atom: 414

Structure (POSCAR):
```
Pt2WSe
1.0
5.0310 -0.0001 0.0000
1.9456 4.6396 0.0000
-3.4883 -2.3197 2.7860
Pt Se W
2 1 1
Direct
0.0000 0.0000 0.0000
0.5000 0.5000 0.0000
0.2500 0.7500 0.5000
0.7500 0.2500 0.5000
```

***

No. 5
Crystalline NbINO2 at its relaxed geometry. Source: the Alexandria database, functional GGA-PBE.

Summary:
Symmetry: P4/mmm
Total magnetic moment, Bohr magnetons per cell: 2.68
E, eV/atom: -4.99
Formation energy without anion corrections, meV/atom: 978

Structure (POSCAR):
```
NbINO2
1.0
4.0033 0.0000 0.0000
0.0000 4.0033 0.0000
0.0000 0.0000 4.6264
I Nb O N
1 1 2 1
Direct
0.0000 0.0000 0.0000
0.5000 0.5000 0.5000
0.0000 0.5000 0.0000
0.5000 0.0000 0.0000
0.0000 0.0000 0.5000
```

***

No. 6
Crystalline Pu3Si4Au7 at its relaxed geometry. Source: the Alexandria database, functional GGA-PBE.

Summary:
Symmetry: C2/m
Total magnetic moment, Bohr magnetons per cell: 16.19
E, eV/atom: -6.62
Formation energy without anion corrections, meV/atom: -359

Structure (POSCAR):
```
Pu3Si4Au7
1.0
4.2187 0.0000 1.0643
1.5191 7.6911 2.8720
0.1017 0.2390 8.4902
Pu Si Au
3 4 7
Direct
0.3106 0.1867 0.1921
0.6894 0.8133 0.8079
0.0000 0.5000 0.5000
0.6676 0.4514 0.2133
0.3324 0.5486 0.7867
0.8754 0.9094 0.3398
0.1246 0.0906 0.6602
0.3238 0.8205 0.5318
0.4919 0.2279 0.7883
0.8456 0.3939 0.9148
0.6762 0.1795 0.4682
0.1544 0.6061 0.0852
0.0000 0.0000 0.0000
0.5081 0.7721 0.2117
```

***

No. 7
Crystalline LaGa2Sb at its relaxed geometry. Source: the Alexandria database, functional GGA-PBE.

Summary:
Symmetry: R-3m
Total magnetic moment, Bohr magnetons per cell: 0.00
E, eV/atom: -4.17
Formation energy without anion corrections, meV/atom: -398

Structure (POSCAR):
```
LaGa2Sb
1.0
-1.5608 1.7639 4.1766
-2.2344 -2.8662 3.1279
3.2501 -1.5163 4.6074
Sb Ga La
1 2 1
Direct
0.0000 0.0000 0.0000
0.7219 0.7219 0.8344
0.2781 0.2781 0.1656
0.5000 0.5000 0.5000
```

***

No. 8
Crystalline TcBPt3 at its relaxed geometry. Source: the Alexandria database, functional GGA-PBE.

Summary:
Symmetry: Pm-3m
Energy of formation from the pure elements, eV per atom: 2.026
Total magnetic moment, Bohr magnetons per cell: 0.00
E, eV/atom: -5.01
Distance to the lowest polymorph of the same formula, meV/atom: 1722

Structure (POSCAR):
```
TcBPt3
1.0
4.8060 0.0000 0.0000
0.0000 4.8060 0.0000
0.0000 0.0000 4.8060
B Tc Pt
1 1 3
Direct
0.5000 0.5000 0.5000
0.0000 0.0000 0.0000
0.0000 0.5000 0.0000
0.0000 0.0000 0.5000
0.5000 0.0000 0.0000
```

***

No. 9
Crystalline Pm2Pr2Y2Mg at its relaxed geometry. Source: the Alexandria database, functional GGA-PBE.

Summary:
Symmetry: C2/m
Energy of formation from the pure elements, eV per atom: 0.083
Total magnetic moment, Bohr magnetons per cell: 0.00
E, eV/atom: -4.71

Structure (POSCAR):
```
Pm2Pr2Y2Mg
1.0
-0.5139 1.8828 2.9787
0.6527 -5.9154 1.7228
10.5807 5.2759 -1.5092
Pm Pr Y Mg
2 2 2 1
Direct
0.7642 0.5284 0.6373
0.2358 0.4716 0.3627
0.5491 0.0981 0.7624
0.4509 0.9019 0.2376
0.6681 0.3361 0.0832
0.3319 0.6639 0.9168
0.0000 0.0000 0.5000
```

***

No. 10
Crystalline ScCo2Rh at its relaxed geometry. Source: the Alexandria database, functional GGA-PBE.

Summary:
Symmetry: F-43m
Energy of formation from the pure elements, eV per atom: -0.186
Total magnetic moment, Bohr magnetons per cell: 3.36
E, eV/atom: -7.16

Structure (POSCAR):
```
ScCo2Rh
1.0
-3.0426 0.2135 3.0252
-2.7214 -3.2791 0.5445
0.2813 -2.4650 3.5070
Co Rh Sc
2 1 1
Direct
0.0000 0.0000 0.0000
0.2500 0.2500 0.2500
0.5000 0.5000 0.5000
0.7500 0.7500 0.7500
```

***

No. 11
Crystalline LaPrNd6Y2 at its relaxed geometry. Source: the Alexandria database, functional GGA-PBE.

Summary:
Symmetry: C2/c
Energy of formation from the pure elements, eV per atom: 0.111
Total magnetic moment, Bohr magnetons per cell: 0.00
E, eV/atom: -5.01

Structure (POSCAR):
```
LaPrNd6Y2
1.0
-6.3906 1.9036 7.0539
-6.3577 -3.0011 -5.6573
4.2529 -6.3113 4.8489
La Pr Nd Y
2 2 12 4
Direct
0.2500 0.4062 0.5938
0.7500 0.5938 0.4062
0.2500 0.9585 0.0415
0.7500 0.0415 0.9585
0.0609 0.1025 0.7608
0.4391 0.2392 0.8975
0.9391 0.8975 0.2392
0.5609 0.7608 0.1025
0.3209 0.9893 0.4428
0.1791 0.5572 0.0107
0.6791 0.0107 0.5572
0.8209 0.4428 0.9893
0.1159 0.7038 0.4752
0.3841 0.5248 0.2962
0.8841 0.2962 0.5248
0.6159 0.4752 0.7038
0.4457 0.8008 0.7072
0.0543 0.2928 0.1992
0.5543 0.1992 0.2928
0.9457 0.7072 0.8008
```

***

No. 12
Crystalline Li2LaY at its relaxed geometry. Source: the Alexandria database, functional GGA-PBE.

Summary:
Symmetry: R-3m
Energy of formation from the pure elements, eV per atom: 0.163
Total magnetic moment, Bohr magnetons per cell: 0.01
E, eV/atom: -3.64
Distance to the lowest polymorph of the same formula, meV/atom: 99

Structure (POSCAR):
```
Li2LaY
1.0
11.2042 -0.0042 -0.0025
10.6693 3.4207 -0.0025
10.6693 1.6665 2.9873
La Li Y
1 2 1
Direct
0.7500 0.7500 0.7500
0.9983 0.9983 0.9983
0.5017 0.5017 0.5017
0.2500 0.2500 0.2500
```